(1)
# BaZn3Pt

An optimized crystal structure of BaZn3Pt (GGA-PBE, Alexandria).

CIF file:
```
data_BaZn3Pt
_chemical_formula_sum 'Ba4 Zn12 Pt4'
_space_group_name_H-M_alt 'C m c m'
_space_group_IT_number 63
_space_group_name_Hall '-C 2c 2'
_cell_length_a 5.033
_cell_length_b 20.509
_cell_length_c 4.827
_cell_angle_alpha 90.00
_cell_angle_beta 90.00
_cell_angle_gamma 90.00
loop_
_atom_site_label
_atom_site_type_symbol
_atom_site_fract_x
_atom_site_fract_y
_atom_site_fract_z
Ba1 Ba 0.000 0.111 0.250
Zn1 Zn 0.000 0.500 0.000
Zn2 Zn 0.249 0.280 0.250
Pt1 Pt 0.000 0.392 0.250
```

- Energy of formation from the pure elements: -0.30 eV per atom
- Relative energy among the computed polymorphs: 0.161 eV/atom

(2)
# Sr2LiMg6Pd

An optimized crystal structure of Sr2LiMg6Pd (GGA-PBE, Alexandria).

CIF file:
```
data_Sr2LiMg6Pd
_chemical_formula_sum 'Sr4 Li2 Mg12 Pd2'
_space_group_name_H-M_alt 'I m m m'
_space_group_IT_number 71
_space_group_name_Hall '-I 2 2'
_cell_length_a 7.297
_cell_length_b 7.315
_cell_length_c 10.340
_cell_angle_alpha 90.00
_cell_angle_beta 90.00
_cell_angle_gamma 90.00
loop_
_atom_site_label
_atom_site_type_symbol
_atom_site_fract_x
_atom_site_fract_y
_atom_site_fract_z
Sr1 Sr 0.000 0.000 0.250
Li1 Li 0.000 0.500 0.000
Mg1 Mg 0.000 0.500 0.252
Mg2 Mg 0.248 0.252 0.500
Pd1 Pd 0.000 0.500 0.500
```

- Energy of formation from the pure elements: -0.11 eV per atom

(3)
# Tl3FeAg

An optimized crystal structure of Tl3FeAg (GGA-PBE, Alexandria).

CIF file:
```
data_Tl3FeAg
_chemical_formula_sum 'Tl3 Fe1 Ag1'
_space_group_name_H-M_alt 'P m -3 m'
_space_group_IT_number 221
_space_group_name_Hall '-P 4 2 3'
_cell_length_a 5.146
_cell_length_b 5.146
_cell_length_c 5.146
_cell_angle_alpha 90.00
_cell_angle_beta 90.00
_cell_angle_gamma 90.00
loop_
_atom_site_label
_atom_site_type_symbol
_atom_site_fract_x
_atom_site_fract_y
_atom_site_fract_z
Tl1 Tl 0.000 0.000 0.500
Fe1 Fe 0.000 0.000 0.000
Ag1 Ag 0.500 0.500 0.500
```

- Energy of formation from the pure elements: 0.48 eV per atom

(4)
# CaLaHo2

An optimized crystal structure of CaLaHo2 (GGA-PBE, Alexandria).

CIF file:
```
data_CaLaHo2
_chemical_formula_sum 'Ca1 La1 Ho2'
_space_group_name_H-M_alt 'P 4/m m m'
_space_group_IT_number 123
_space_group_name_Hall '-P 4 2'
_cell_length_a 3.689
_cell_length_b 3.689
_cell_length_c 10.280
_cell_angle_alpha 90.00
_cell_angle_beta 90.00
_cell_angle_gamma 90.00
loop_
_atom_site_label
_atom_site_type_symbol
_atom_site_fract_x
_atom_site_fract_y
_atom_site_fract_z
Ca1 Ca 0.000 0.000 0.000
La1 La 0.000 0.000 0.500
Ho1 Ho 0.500 0.500 0.264
```

- Energy of formation from the pure elements: 0.09 eV per atom
- Relative energy among the computed polymorphs: 0.021 eV/atom

(5)
# K14NaLi

An optimized crystal structure of K14NaLi (GGA-PBE, Alexandria).

CIF file:
```
data_K14NaLi
_chemical_formula_sum 'K28 Na2 Li2'
_space_group_name_H-M_alt 'A m m 2'
_space_group_IT_number 38
_cell_length_a 14.662
_cell_length_b 9.719
_cell_length_c 14.935
_cell_angle_alpha 90.00
_cell_angle_beta 90.00
_cell_angle_gamma 90.00
loop_
_space_group_symop_operation_xyz
'x,y,z'
'-x,-y,z'
'-x,y,z'
'x,-y,z'
'x,y+1/2,z+1/2'
'-x,-y+1/2,z+1/2'
'-x,y+1/2,z+1/2'
'x,-y+1/2,z+1/2'
loop_
_atom_site_label
_atom_site_type_symbol
_atom_site_fract_x
_atom_site_fract_y
_atom_site_fract_z
K1 K 0.000 0.000 0.000
K2 K 0.000 0.000 0.496
K3 K 0.000 0.246 0.752
K4 K 0.248 0.000 0.209
K5 K 0.252 0.000 0.702
K6 K 0.280 0.241 0.952
K7 K 0.500 0.249 0.178
Na1 Na 0.500 0.000 0.421
Li1 Li 0.500 0.000 0.912
```

- Energy of formation from the pure elements: 0.04 eV per atom

(6)
# Dy4Mg2O

An optimized crystal structure of Dy4Mg2O (GGA-PBE, Alexandria).

CIF file:
```
data_Dy4Mg2O
_chemical_formula_sum 'Dy8 Mg4 O2'
_space_group_name_H-M_alt 'I 4/m m m'
_space_group_IT_number 139
_space_group_name_Hall '-I 4 2'
_cell_length_a 4.778
_cell_length_b 4.778
_cell_length_c 15.896
_cell_angle_alpha 90.00
_cell_angle_beta 90.00
_cell_angle_gamma 90.00
loop_
_atom_site_label
_atom_site_type_symbol
_atom_site_fract_x
_atom_site_fract_y
_atom_site_fract_z
Dy1 Dy 0.000 0.000 0.156
Dy2 Dy 0.000 0.500 0.000
Mg1 Mg 0.000 0.000 0.362
O1 O 0.000 0.000 0.000
```

- Calculated total energy: -4.48 eV/atom